Record 1
{"formula": "TlPb2BrN", "functional": "PBE-GGA", "state": "optimized geometry", "lattice_angstrom": [[5.092, 0.000, 0.000], [0.000, 5.092, 0.000], [0.000, 0.000, 5.397]], "species": ["Tl", "Pb", "Pb", "Br", "N"], "frac_coords": [[0.000, 0.000, 0.000], [0.000, 0.500, 0.500], [0.500, 0.000, 0.500], [0.500, 0.500, 0.000], [0.500, 0.500, 0.500]], "magnetic_moment_mub_per_fu": 0.0, "space_group": "P4/mmm (123)", "n_ef_per_ev_cell": 3.67, "e_form_raw_ev_per_atom": 0.53}

=====

Record 2
{"formula": "ScCd2Sb", "functional": "PBE-GGA", "state": "optimized geometry", "lattice_angstrom": [[3.359, 0.000, 0.000], [-1.680, 2.909, 0.000], [0.000, 0.000, 29.776]], "species": ["Sc", "Sc", "Sc", "Cd", "Cd", "Cd", "Cd", "Cd", "Cd", "Sb", "Sb", "Sb"], "frac_coords": [[0.000, 0.000, 0.000], [0.333, 0.667, 0.667], [0.667, 0.333, 0.333], [0.000, 0.000, 0.493], [0.000, 0.000, 0.746], [0.333, 0.667, 0.160], [0.333, 0.667, 0.413], [0.667, 0.333, 0.080], [0.667, 0.333, 0.827], [0.000, 0.000, 0.254], [0.333, 0.667, 0.920], [0.667, 0.333, 0.587]], "magnetic_moment_mub_per_fu": 0.0, "space_group": "R3m (160)", "n_ef_per_ev_cell": 8.76, "e_form_raw_ev_per_atom": -0.13}

=====

Record 3
{"formula": "KAg2Au", "functional": "PBE-GGA", "state": "optimized geometry", "lattice_angstrom": [[3.214, 0.000, 0.000], [-1.607, 2.784, 0.000], [0.000, 0.000, 29.841]], "species": ["K", "K", "K", "Ag", "Ag", "Ag", "Ag", "Ag", "Ag", "Au", "Au", "Au"], "frac_coords": [[0.000, 0.000, 0.000], [0.333, 0.667, 0.667], [0.667, 0.333, 0.333], [0.000, 0.000, 0.503], [0.000, 0.000, 0.763], [0.333, 0.667, 0.169], [0.333, 0.667, 0.430], [0.667, 0.333, 0.096], [0.667, 0.333, 0.836], [0.000, 0.000, 0.243], [0.333, 0.667, 0.910], [0.667, 0.333, 0.576]], "magnetic_moment_mub_per_fu": 0.0, "space_group": "R3m (160)", "e_above_lowest_polymorph_mev_per_atom": 347, "delta_e_f_ev_per_atom": 0.242, "n_ef_per_ev_cell": 11.02}

=====

Record 4
{"formula": "Ir5W3", "functional": "PBE-GGA", "state": "optimized geometry", "lattice_angstrom": [[7.817, 0.000, 0.000], [0.000, 7.843, 0.000], [0.000, 0.000, 3.918]], "species": ["Ir", "Ir", "Ir", "Ir", "Ir", "Ir", "Ir", "Ir", "Ir", "Ir", "W", "W", "W", "W", "W", "W"], "frac_coords": [[0.000, 0.000, 0.000], [0.000, 0.253, 0.500], [0.000, 0.747, 0.500], [0.250, 0.250, 0.000], [0.250, 0.750, 0.000], [0.500, 0.247, 0.500], [0.500, 0.500, 0.000], [0.500, 0.753, 0.500], [0.750, 0.250, 0.000], [0.750, 0.750, 0.000], [0.000, 0.500, 0.000], [0.249, 0.000, 0.500], [0.251, 0.500, 0.500], [0.500, 0.000, 0.000], [0.749, 0.500, 0.500], [0.751, 0.000, 0.500]], "magnetic_moment_mub_per_fu": 0.0, "space_group": "Cmmm (65)", "e_above_lowest_polymorph_mev_per_atom": 0, "delta_e_f_ev_per_atom": -0.251, "n_ef_per_ev_cell": 10.54}

=====

Record 5
{"formula": "Sm2CdGe4Au3", "functional": "PBE-GGA", "state": "optimized geometry", "lattice_angstrom": [[4.324, 0.000, 0.000], [0.000, 4.324, 0.000], [0.000, 0.000, 11.345]], "species": ["Sm", "Sm", "Cd", "Ge", "Ge", "Ge", "Ge", "Au", "Au", "Au"], "frac_coords": [[0.000, 0.500, 0.245], [0.500, 0.000, 0.755], [0.500, 0.500, 0.000], [0.000, 0.000, 0.500], [0.000, 0.500, 0.857], [0.500, 0.000, 0.143], [0.500, 0.500, 0.500], [0.000, 0.000, 0.000], [0.000, 0.500, 0.638], [0.500, 0.000, 0.362]], "magnetic_moment_mub_per_fu": 0.0, "space_group": "P-4m2 (115)", "delta_e_f_ev_per_atom": -0.466, "n_ef_per_ev_cell": 2.89}

=====

Record 6
{"formula": "BaAgSe", "functional": "PBE-GGA", "state": "optimized geometry", "lattice_angstrom": [[18.744, 0.000, 0.000], [0.000, 4.429, 0.000], [-0.175, 0.000, 4.671]], "species": ["Ba", "Ba", "Ba", "Ba", "Ag", "Ag", "Ag", "Ag", "Se", "Se", "Se", "Se"], "frac_coords": [[0.000, 0.000, 0.000], [0.236, 0.500, 0.967], [0.500, 0.500, 0.000], [0.736, 0.000, 0.967], [0.078, 0.500, 0.494], [0.432, 0.000, 0.494], [0.578, 0.000, 0.494], [0.932, 0.500, 0.494], [0.168, 0.000, 0.448], [0.363, 0.000, 0.983], [0.668, 0.500, 0.448], [0.863, 0.500, 0.983]], "magnetic_moment_mub_per_fu": 0.0, "space_group": "Cm (8)", "e_above_lowest_polymorph_mev_per_atom": 45, "n_ef_per_ev_cell": 0.07, "e_form_raw_ev_per_atom": -1.03}

=====

Record 7
{"formula": "Rb2ErCuF6", "functional": "PBE-GGA", "state": "optimized geometry", "lattice_angstrom": [[4.092, -4.750, 0.000], [4.092, 4.750, 0.000], [-4.090, 0.000, 4.736]], "species": ["Rb", "Rb", "Er", "Cu", "F", "F", "F", "F", "F", "F"], "frac_coords": [[0.250, 0.750, 0.000], [0.750, 0.250, 0.000], [0.000, 0.000, 0.500], [0.500, 0.500, 0.500], [0.226, 0.226, 0.953], [0.226, 0.774, 0.500], [0.266, 0.266, 0.501], [0.734, 0.734, 0.499], [0.774, 0.226, 0.500], [0.774, 0.774, 0.047]], "magnetic_moment_mub_per_fu": 0.1, "space_group": "C2/m (12)", "n_ef_per_ev_cell": 0.00, "e_form_raw_ev_per_atom": -2.94}

=====

Record 8
{"formula": "HoMgCuSe3", "functional": "PBE-GGA", "state": "optimized geometry", "lattice_angstrom": [[7.849, 0.000, 0.000], [0.000, 3.864, 0.000], [-1.788, 0.000, 8.544]], "species": ["Ho", "Ho", "Mg", "Mg", "Cu", "Cu", "Se", "Se", "Se", "Se", "Se", "Se"], "frac_coords": [[0.183, 0.250, 0.248], [0.817, 0.750, 0.752], [0.338, 0.750, 0.838], [0.662, 0.250, 0.162], [0.077, 0.250, 0.579], [0.923, 0.750, 0.421], [0.090, 0.250, 0.863], [0.253, 0.750, 0.512], [0.414, 0.750, 0.153], [0.586, 0.250, 0.847], [0.747, 0.250, 0.488], [0.910, 0.750, 0.137]], "magnetic_moment_mub_per_fu": 0.0, "space_group": "P2_1/m (11)", "e_form_raw_ev_per_atom": -1.21}

=====

Record 9
{"formula": "Pm11Y9Er4", "functional": "PBE-GGA", "state": "optimized geometry", "lattice_angstrom": [[8.485, -12.864, 0.000], [8.485, 12.864, 0.000], [0.000, 0.000, 3.659]], "species": ["Pm", "Pm", "Pm", "Pm", "Pm", "Pm", "Pm", "Pm", "Pm", "Pm", "Pm", "Y", "Y", "Y", "Y", "Y", "Y", "Y", "Y", "Y", "Er", "Er", "Er", "Er"], "frac_coords": [[0.000, 0.000, 0.000], [0.044, 0.406, 0.000], [0.161, 0.839, 0.000], [0.293, 0.293, 0.000], [0.369, 0.631, 0.000], [0.406, 0.044, 0.000], [0.594, 0.956, 0.000], [0.631, 0.369, 0.000], [0.707, 0.707, 0.000], [0.839, 0.161, 0.000], [0.956, 0.594, 0.000], [0.068, 0.214, 0.500], [0.165, 0.630, 0.500], [0.214, 0.068, 0.500], [0.370, 0.835, 0.500], [0.500, 0.500, 0.500], [0.630, 0.165, 0.500], [0.786, 0.932, 0.500], [0.835, 0.370, 0.500], [0.932, 0.786, 0.500], [0.242, 0.445, 0.500], [0.445, 0.242, 0.500], [0.555, 0.758, 0.500], [0.758, 0.555, 0.500]], "magnetic_moment_mub_per_fu": 0.0, "space_group": "Cmmm (65)", "delta_e_f_ev_per_atom": 0.046, "n_ef_per_ev_cell": 31.52}

=====

Record 10
{"formula": "As2RuCl", "functional": "PBE-GGA", "state": "optimized geometry", "lattice_angstrom": [[3.746, 0.000, 0.000], [0.000, 3.746, 0.000], [0.000, 0.000, 4.960]], "species": ["As", "As", "Ru", "Cl"], "frac_coords": [[0.000, 0.500, 0.000], [0.500, 0.000, 0.000], [0.000, 0.000, 0.500], [0.500, 0.500, 0.500]], "magnetic_moment_mub_per_fu": 0.0, "space_group": "P4/mmm (123)", "e_above_lowest_polymorph_mev_per_atom": 796, "n_ef_per_ev_cell": 3.88, "e_form_raw_ev_per_atom": 0.62}

=====

Record 11
{"formula": "HoMn2Si2Pt7", "functional": "PBE-GGA", "state": "optimized geometry", "lattice_angstrom": [[2.816, -2.777, 0.000], [2.816, 2.777, 0.000], [-1.598, 0.000, 12.781]], "species": ["Ho", "Mn", "Mn", "Si", "Si", "Pt", "Pt", "Pt", "Pt", "Pt", "Pt", "Pt"], "frac_coords": [[0.000, 0.000, 0.000], [0.086, 0.086, 0.343], [0.914, 0.914, 0.657], [0.422, 0.422, 0.714], [0.578, 0.578, 0.286], [0.048, 0.548, 0.176], [0.271, 0.271, 0.541], [0.452, 0.952, 0.824], [0.500, 0.500, 0.000], [0.548, 0.048, 0.176], [0.729, 0.729, 0.459], [0.952, 0.452, 0.824]], "magnetic_moment_mub_per_fu": 8.7, "space_group": "C2/m (12)", "n_ef_per_ev_cell": 4.33, "e_form_raw_ev_per_atom": -0.61}

=====

Record 12
{"formula": "Zn5Tc", "functional": "PBE-GGA", "state": "optimized geometry", "lattice_angstrom": [[2.701, 0.000, 0.000], [0.000, 2.701, 0.000], [0.000, 0.000, 12.160]], "species": ["Zn", "Zn", "Zn", "Zn", "Zn", "Tc"], "frac_coords": [[0.000, 0.000, 0.000], [0.000, 0.000, 0.337], [0.000, 0.000, 0.663], [0.500, 0.500, 0.169], [0.500, 0.500, 0.831], [0.500, 0.500, 0.500]], "magnetic_moment_mub_per_fu": 0.4, "space_group": "P4/mmm (123)", "e_above_lowest_polymorph_mev_per_atom": 126, "delta_e_f_ev_per_atom": 0.104, "n_ef_per_ev_cell": 4.12}

=====

Record 13
{"formula": "Ho3Si4Au2", "functional": "PBE-GGA", "state": "optimized geometry", "lattice_angstrom": [[5.344, -2.116, 0.000], [5.344, 2.116, 0.000], [-1.839, 0.000, 7.954]], "species": ["Ho", "Ho", "Ho", "Si", "Si", "Si", "Si", "Au", "Au"], "frac_coords": [[0.000, 0.000, 0.000], [0.337, 0.337, 0.326], [0.663, 0.663, 0.674], [0.055, 0.055, 0.392], [0.275, 0.275, 0.949], [0.725, 0.725, 0.051], [0.945, 0.945, 0.608], [0.385, 0.385, 0.719], [0.615, 0.615, 0.281]], "magnetic_moment_mub_per_fu": 0.0, "space_group": "C2/m (12)", "n_ef_per_ev_cell": 4.32, "e_form_raw_ev_per_atom": -0.78}

=====

Record 14
{"formula": "Sr6InGa2", "functional": "PBE-GGA", "state": "optimized geometry", "lattice_angstrom": [[-5.389, 5.519, 5.877], [5.389, -5.519, 5.877], [5.389, 5.519, -5.877]], "species": ["Sr", "Sr", "Sr", "Sr", "Sr", "Sr", "Sr", "Sr", "Sr", "Sr", "Sr", "Sr", "In", "In", "Ga", "Ga", "Ga", "Ga"], "frac_coords": [[0.061, 0.250, 0.811], [0.178, 0.274, 0.452], [0.178, 0.726, 0.904], [0.335, 0.021, 0.686], [0.335, 0.649, 0.314], [0.438, 0.250, 0.189], [0.562, 0.750, 0.811], [0.665, 0.351, 0.686], [0.665, 0.979, 0.314], [0.822, 0.274, 0.096], [0.822, 0.726, 0.548], [0.939, 0.750, 0.189], [0.000, 0.000, 0.000], [0.500, 0.500, 0.000], [0.108, 0.608, 0.500], [0.325, 0.000, 0.325], [0.675, 0.000, 0.675], [0.892, 0.392, 0.500]], "magnetic_moment_mub_per_fu": 0.0, "space_group": "Immm (71)", "delta_e_f_ev_per_atom": -0.283, "n_ef_per_ev_cell": 22.81}